Ca3Ag2Ge3: relaxed, PBE.

abc: 5.904 5.904 14.907
angles: 90.00 90.00 135.13
Fractional positions:
Ca  0.092  0.908  0.612
Ca  0.092  0.908  0.888
Ca  0.367  0.633  0.750
Ca  0.633  0.367  0.250
Ca  0.908  0.092  0.112
Ca  0.908  0.092  0.388
Ag  0.204  0.796  0.097
Ag  0.204  0.796  0.403
Ag  0.796  0.204  0.597
Ag  0.796  0.204  0.903
Ge  0.340  0.660  0.250
Ge  0.397  0.603  0.538
Ge  0.397  0.603  0.962
Ge  0.603  0.397  0.038
Ge  0.603  0.397  0.462
Ge  0.660  0.340  0.750

Summary:
Its density of states at the Fermi level is 3.3 states/eV/f.u. The value obtained for the energy of formation is -0.505 eV per atom. The calculation puts the theoretical density at 5.0 g cm⁻³. As for the total magnetization: 0.000 μB/f.u. For the total energy, the calculation gives -59.20 eV for the cell shown.